This record from Alexandria describes a relaxed structure of CaHIrOs2. The functional is PBE.

Output
Magnetic moment (μB/atom): 0.265
Final energy (Ry per atom): -0.388
Volume (Å³/cell): 74

a b c (Å): 4.9991 4.9991 2.9697
angles (deg): 90.00 90.00 90.00
Last column: nearest neighbours and their distance in Å.
Fractional coordinates of all 5 atoms:
Ca  0.0000  0.0000  0.0000  2 H 1.48
H  0.0000  0.0000  0.5000  2 Ca 1.48
Ir  0.5000  0.5000  0.5000  8 Os 2.91, 2 Ir 2.97
Os  0.0000  0.5000  0.0000  2 Ca 2.50
Os  0.5000  0.0000  0.0000  2 Ca 2.50